[1]
{
  "formula": "ZrCdNi2",
  "functional": "GGA-PBEsol",
  "state": "relaxed",
  "final_energy_ev_per_cell": -47.06,
  "sg": "Amm2",
  "cell": [[3.8379, 0.0000, 0.0000], [0.0000, 3.4375, 0.0000], [0.0000, 0.0000, 9.4479]],
  "species": ["Zr", "Zr", "Cd", "Cd", "Ni", "Ni", "Ni", "Ni"],
  "fractional_positions": [[0.0000, 0.0000, 0.0000], [0.0000, 0.5000, 0.5000], [0.5000, 0.0000, 0.7069], [0.5000, 0.5000, 0.2069], [0.0000, 0.0000, 0.2841], [0.0000, 0.5000, 0.7841], [0.5000, 0.0000, 0.4302], [0.5000, 0.5000, 0.9302]]
}



[2]
{
  "formula": "ZrCdNi2",
  "functional": "GGA-PBEsol",
  "state": "relaxed",
  "final_energy_ev_per_cell": -46.41,
  "sg": "Cm",
  "cell": [[9.5263, 0.0000, 0.0000], [0.0000, 2.8827, 0.0000], [-1.2244, 0.0000, 4.3744]],
  "species": ["Zr", "Zr", "Cd", "Cd", "Ni", "Ni", "Ni", "Ni"],
  "fractional_positions": [[0.0000, 0.0000, 0.0000], [0.5000, 0.5000, 0.0000], [0.2209, 0.0000, 0.6520], [0.7209, 0.5000, 0.6520], [0.2597, 0.5000, 0.1842], [0.4702, 0.0000, 0.4729], [0.7597, 0.0000, 0.1842], [0.9702, 0.5000, 0.4729]]
}



[3]
{
  "formula": "ZrCdNi",
  "functional": "GGA-PBEsol",
  "state": "relaxed",
  "final_energy_ev_per_cell": -70.37,
  "sg": "Cmcm",
  "cell": [[3.2662, 0.0000, 0.0000], [0.0000, 16.2638, 0.0000], [0.0000, 0.0000, 3.9373]],
  "species": ["Zr", "Zr", "Zr", "Zr", "Cd", "Cd", "Cd", "Cd", "Ni", "Ni", "Ni", "Ni"],
  "fractional_positions": [[0.0000, 0.0862, 0.2500], [0.0000, 0.9138, 0.7500], [0.5000, 0.4138, 0.7500], [0.5000, 0.5862, 0.2500], [0.0000, 0.2941, 0.2500], [0.0000, 0.7059, 0.7500], [0.5000, 0.2059, 0.7500], [0.5000, 0.7941, 0.2500], [0.0000, 0.4546, 0.2500], [0.0000, 0.5454, 0.7500], [0.5000, 0.0454, 0.7500], [0.5000, 0.9546, 0.2500]]
}